Arrangement a

The following is a PBE calculation of a geometry-optimized POsPtO2 structure, from Alexandria.

Cell lengths 3.6343, 3.6343, 7.5725 Å; angles 90.00, 90.00, 90.00 degrees
Closest atoms and distances in Å follow each position.
Space group P4/mmm (No. 123)
Asymmetric unit:
P 0.0000 0.0000 0.0000 (multiplicity 1)  4 Os 2.57
Os 0.5000 0.5000 0.0000 (multiplicity 1)  4 P 2.57
Pt 0.0000 0.0000 0.5000 (multiplicity 1)  4 O 1.82
O 0.0000 0.5000 0.5000 (multiplicity 2)  2 Pt 1.82

---

Arrangement b

The following is a PBE calculation of a geometry-optimized POsPtO2 structure, from Alexandria.

Cell lengths 3.6485, 3.6485, 5.6445 Å; angles 90.00, 90.00, 90.00 degrees
Closest atoms and distances in Å follow each position.
Space group P4/mmm (No. 123)
Asymmetric unit:
P 0.0000 0.0000 0.0000 (multiplicity 1)  4 Pt 2.58, 2 Os 2.82
Os 0.0000 0.0000 0.5000 (multiplicity 1)  4 O 1.82
Pt 0.5000 0.5000 0.0000 (multiplicity 1)  4 P 2.58
O 0.0000 0.5000 0.5000 (multiplicity 2)  2 Os 1.82

---

Name the least stable of them. arrangement a.

---

Arrangement a

The following is a PBE calculation of a geometry-optimized RbPOsO2 structure, from Alexandria.

Cell lengths 3.8788, 3.8788, 7.2521 Å; angles 90.00, 90.00, 90.00 degrees
Closest atoms and distances in Å follow each position.
Space group P4/mmm (No. 123)
Asymmetric unit:
Rb 0.0000 0.0000 0.0000 (multiplicity 1)  4 O 1.94
P 0.0000 0.0000 0.5000 (multiplicity 1)  4 Os 2.74
Os 0.5000 0.5000 0.5000 (multiplicity 1)  4 P 2.74
O 0.0000 0.5000 0.0000 (multiplicity 2)  2 Rb 1.94

---

Arrangement b

The following is a PBE calculation of a geometry-optimized RbPOsO2 structure, from Alexandria.

Cell lengths 4.0966, 4.0966, 4.6553 Å; angles 90.00, 90.00, 90.00 degrees
Closest atoms and distances in Å follow each position.
Space group P4/mmm (No. 123)
Asymmetric unit:
Rb 0.0000 0.0000 0.0000 (multiplicity 1)  4 P 2.90, 8 O 3.10
P 0.5000 0.5000 0.0000 (multiplicity 1)  2 Os 2.33
Os 0.5000 0.5000 0.5000 (multiplicity 1)  4 O 2.05
O 0.0000 0.5000 0.5000 (multiplicity 2)  2 Os 2.05

---

Name the least stable of them. arrangement a.

---

Arrangement a

The following is a PBE calculation of a geometry-optimized POsRhO2 structure, from Alexandria.

Cell lengths 3.6644, 3.6644, 5.4766 Å; angles 90.00, 90.00, 90.00 degrees
Closest atoms and distances in Å follow each position.
Space group P4/mmm (No. 123)
Asymmetric unit:
P 0.0000 0.0000 0.0000 (multiplicity 1)  4 Rh 2.59, 2 Os 2.74
Os 0.0000 0.0000 0.5000 (multiplicity 1)  4 O 1.83
Rh 0.5000 0.5000 0.0000 (multiplicity 1)  4 P 2.59
O 0.0000 0.5000 0.5000 (multiplicity 2)  2 Os 1.83

---

Arrangement b

The following is a PBE calculation of a geometry-optimized POsRhO2 structure, from Alexandria.

Cell lengths 3.6338, 3.6338, 5.9953 Å; angles 90.00, 90.00, 90.00 degrees
Closest atoms and distances in Å follow each position.
Space group P4/mmm (No. 123)
Asymmetric unit:
P 0.0000 0.0000 0.0000 (multiplicity 1)  4 Os 2.57
Os 0.5000 0.5000 0.0000 (multiplicity 1)  4 P 2.57
Rh 0.0000 0.0000 0.5000 (multiplicity 1)  4 O 1.82
O 0.0000 0.5000 0.5000 (multiplicity 2)  2 Rh 1.82

---

Name the least stable of them. arrangement b.

---

Arrangement a

The following is a PBE calculation of a geometry-optimized POsRuO2 structure, from Alexandria.

Cell lengths 3.6249, 3.6249, 5.8859 Å; angles 90.00, 90.00, 90.00 degrees
Closest atoms and distances in Å follow each position.
Space group P4/mmm (No. 123)
Asymmetric unit:
P 0.0000 0.0000 0.0000 (multiplicity 1)  4 Os 2.56
Os 0.5000 0.5000 0.0000 (multiplicity 1)  4 P 2.56
Ru 0.0000 0.0000 0.5000 (multiplicity 1)  4 O 1.81
O 0.0000 0.5000 0.5000 (multiplicity 2)  2 Ru 1.81

---

Arrangement b

The following is a PBE calculation of a geometry-optimized POsRuO2 structure, from Alexandria.

Cell lengths 3.6599, 3.6599, 5.6400 Å; angles 90.00, 90.00, 90.00 degrees
Closest atoms and distances in Å follow each position.
Space group P4/mmm (No. 123)
Asymmetric unit:
P 0.0000 0.0000 0.0000 (multiplicity 1)  4 Ru 2.59, 2 Os 2.82
Os 0.0000 0.0000 0.5000 (multiplicity 1)  4 O 1.83
Ru 0.5000 0.5000 0.0000 (multiplicity 1)  4 P 2.59
O 0.0000 0.5000 0.5000 (multiplicity 2)  2 Os 1.83

---

Name the least stable of them. arrangement a.